VASP calculation (PBE with a Hubbard U) on LiMn2F7 after structural relaxation.

- calculated density (g/cm3) = 2.67
- total moment (μB/f.u.) = 8.00
- E above lowest polymorph (meV/atom) = 62

abc: 5.7505 6.8403 8.9400
angles: 67.82 73.41 79.95
With the nearest neighbours (Å) after each atom.
Element x y z (fractional)
Li 0.1273 0.4395 0.2839  4 F 1.86-2.00
Li 0.8727 0.5605 0.7161  4 F 1.86-2.00
Mn 0.2382 0.2008 0.7012  4 F 1.83-1.99
Mn 0.2565 0.0172 0.1703  4 F 1.82-2.01
Mn 0.7435 0.9828 0.8297  4 F 1.82-2.01
Mn 0.7618 0.7992 0.2988  4 F 1.83-1.99
F 0.1155 0.9293 0.7637  2 Mn 1.93-2.06
F 0.1768 0.7492 0.1940  1 Mn 1.89, 1 Li 2.00
F 0.1847 0.2823 0.4930  1 Mn 1.83, 1 Li 1.86
F 0.2233 0.4757 0.6907  1 Mn 1.84, 1 Li 1.97
F 0.3008 0.2861 0.1436  1 Mn 1.82, 1 Li 1.89
F 0.3141 0.0970 0.9227  2 Mn 1.99-2.01
F 0.3890 0.8982 0.3590  2 Mn 1.89-2.11
F 0.6110 0.1018 0.6410  2 Mn 1.89-2.11
F 0.6859 0.9030 0.0773  2 Mn 1.99-2.01
F 0.6992 0.7139 0.8564  1 Mn 1.82, 1 Li 1.89
F 0.7767 0.5243 0.3093  1 Mn 1.84, 1 Li 1.97
F 0.8153 0.7177 0.5070  1 Mn 1.83, 1 Li 1.86
F 0.8232 0.2508 0.8060  1 Mn 1.89, 1 Li 2.00
F 0.8845 0.0707 0.2363  2 Mn 1.93-2.06